(1)
Entry from Alexandria: crystalline Sc2PdF2 at its relaxed geometry (GGA-PBE).

a = 6.6977 Å, b = 6.6977 Å, c = 6.6977 Å
α = 150.55°, β = 150.55°, γ = 42.14°
Atoms (fractional coordinates):
Sc (0.1325, 0.1325, 0.0000)
Sc (0.8676, 0.8676, 0.0000)
Pd (0.5000, 0.5000, 0.0000)
F (0.2500, 0.7500, 0.5000)
F (0.7500, 0.2500, 0.5000)

For the raw total energy, the calculation gives -33.27 eV for the cell shown. Its uncorrected formation energy is -2335 meV/atom.

***

(2)
Entry from Alexandria: crystalline RbTlAu2 at its relaxed geometry (GGA-PBE).

a = 10.5507 Å, b = 10.5507 Å, c = 10.5507 Å
α = 149.60°, β = 149.60°, γ = 43.53°
Atoms (fractional coordinates):
Rb (0.3750, 0.6250, 0.7500)
Rb (0.6250, 0.3750, 0.2500)
Tl (0.1250, 0.8750, 0.2500)
Tl (0.8750, 0.1250, 0.7500)
Au (0.0000, 0.0000, 0.0000)
Au (0.0000, 0.0000, 0.5000)
Au (0.0000, 0.5000, 0.0000)
Au (0.5000, 0.0000, 0.5000)

For the raw total energy, the calculation gives -20.69 eV for the cell shown. The value obtained for the energy of formation is -0.114 eV per atom.

***

(3)
Entry from Alexandria: crystalline Pm2Co2Ge2C at its relaxed geometry (GGA-PBE).

a = 5.8260 Å, b = 5.8260 Å, c = 7.0192 Å
α = 125.96°, β = 125.96°, γ = 40.34°
Atoms (fractional coordinates):
Pm (0.0595, 0.0595, 0.2956)
Pm (0.9405, 0.9405, 0.7044)
Co (0.3115, 0.3115, 0.9219)
Co (0.6885, 0.6885, 0.0781)
Ge (0.3315, 0.3315, 0.2843)
Ge (0.6685, 0.6685, 0.7157)
C (0.5000, 0.5000, 0.0000)

For the raw total energy, the calculation gives -46.32 eV for the cell shown. The value obtained for the energy of formation is -0.592 eV per atom.

***

(4)
Entry from Alexandria: crystalline Tb4Pm7Er at its relaxed geometry (GGA-PBE).

a = 6.3025 Å, b = 7.2702 Å, c = 8.9753 Å
α = 89.99°, β = 76.48°, γ = 90.00°
Atoms (fractional coordinates):
Tb (0.2212, 0.9998, 0.3345)
Tb (0.2781, 0.2492, 0.6680)
Tb (0.7219, 0.7508, 0.3320)
Tb (0.7788, 0.0002, 0.6655)
Pm (0.0000, 0.0000, 0.0000)
Pm (0.2213, 0.4999, 0.3342)
Pm (0.2789, 0.7507, 0.6669)
Pm (0.4993, 0.2490, 0.9993)
Pm (0.5007, 0.7510, 0.0007)
Pm (0.7211, 0.2493, 0.3331)
Pm (0.7787, 0.5001, 0.6658)
Er (0.0000, 0.5000, 0.0000)

For the raw total energy, the calculation gives -56.27 eV for the cell shown. The value obtained for the energy of formation is 0.006 eV per atom.